Record 1
! PBE SmSc2GaAu4, optimized geometry; values from VASP
&SYSTEM
  ibrav = 0, nat = 8, ntyp = 4
/
ATOMIC_SPECIES
Sm 150.36 Sm.upf
Sc 44.96 Sc.upf
Ga 69.72 Ga.upf
Au 196.97 Au.upf
CELL_PARAMETERS angstrom
4.719 0.000 0.000
2.360 4.087 0.000
2.360 1.362 8.640
ATOMIC_POSITIONS angstrom
Sm 0.000 0.000 0.000
Sc 7.079 4.087 6.130
Sc 2.360 1.362 2.511
Ga 4.719 2.725 4.320
Au 4.719 2.725 7.097
Au 7.079 4.087 3.146
Au 2.360 1.362 5.494
Au 4.719 2.725 1.543
! E_form	-66.2	kJ per mole of atoms
! M_tot	0.00	μB/cell



Record 2
! PBE Sr2ScGa4Au3, optimized geometry; values from VASP
&SYSTEM
  ibrav = 0, nat = 10, ntyp = 4
/
ATOMIC_SPECIES
Sr 87.62 Sr.upf
Sc 44.96 Sc.upf
Ga 69.72 Ga.upf
Au 196.97 Au.upf
CELL_PARAMETERS angstrom
4.368 0.000 0.000
0.000 4.368 0.000
0.000 0.000 11.838
ATOMIC_POSITIONS angstrom
Sr 2.184 0.000 2.834
Sr 0.000 2.184 9.004
Sc 2.184 2.184 5.919
Ga 2.184 2.184 0.000
Ga 0.000 0.000 0.000
Ga 2.184 0.000 7.688
Ga 0.000 2.184 4.150
Au 0.000 0.000 5.919
Au 2.184 0.000 10.295
Au 0.000 2.184 1.543
! E_form	-54.2	kJ per mole of atoms
! M_tot	0.00	μB/cell



Record 3
! PBE Sr2ScGa3Au4, optimized geometry; values from VASP
&SYSTEM
  ibrav = 0, nat = 10, ntyp = 4
/
ATOMIC_SPECIES
Sr 87.62 Sr.upf
Sc 44.96 Sc.upf
Ga 69.72 Ga.upf
Au 196.97 Au.upf
CELL_PARAMETERS angstrom
-0.105 4.406 -0.981
-3.642 0.497 2.622
6.596 2.107 8.761
ATOMIC_POSITIONS angstrom
Sr 1.489 2.695 1.556
Sr 3.234 1.864 8.026
Sc 1.425 3.506 5.201
Ga 3.298 1.054 4.381
Ga 5.734 4.052 7.195
Ga -1.011 0.508 2.387
Au -1.873 2.452 0.821
Au 0.000 0.000 0.000
Au 4.207 3.564 5.167
Au 0.515 0.995 4.415
! E_form	-60.0	kJ per mole of atoms
! M_tot	0.00	μB/cell



Record 4
! PBE TbScGaAu, optimized geometry; values from VASP
&SYSTEM
  ibrav = 0, nat = 4, ntyp = 4
/
ATOMIC_SPECIES
Sc 44.96 Sc.upf
Tb 158.93 Tb.upf
Au 196.97 Au.upf
Ga 69.72 Ga.upf
CELL_PARAMETERS angstrom
-3.033 3.925 -0.288
-4.044 -0.191 -2.881
-4.515 -0.192 2.066
ATOMIC_POSITIONS angstrom
Sc -5.796 1.771 -0.551
Tb 0.000 0.000 0.000
Au -8.695 2.656 -0.827
Ga -2.898 0.885 -0.276
! E_form	-65.2	kJ per mole of atoms
! M_tot	0.00	μB/cell



Record 5
! PBE Tb2ScGa3Au4, optimized geometry; values from VASP
&SYSTEM
  ibrav = 0, nat = 10, ntyp = 4
/
ATOMIC_SPECIES
Tb 158.93 Tb.upf
Sc 44.96 Sc.upf
Ga 69.72 Ga.upf
Au 196.97 Au.upf
CELL_PARAMETERS angstrom
4.277 0.000 0.000
0.000 4.277 0.000
0.000 0.000 11.454
ATOMIC_POSITIONS angstrom
Tb 2.138 0.000 2.581
Tb 0.000 2.138 8.874
Sc 2.138 2.138 5.727
Ga 0.000 0.000 5.727
Ga 2.138 0.000 9.935
Ga 0.000 2.138 1.519
Au 2.138 2.138 0.000
Au 0.000 0.000 0.000
Au 2.138 0.000 7.440
Au 0.000 2.138 4.015
! E_form	-62.1	kJ per mole of atoms
! M_tot	0.00	μB/cell



Record 6
! PBE ThScGaAu, optimized geometry; values from VASP
&SYSTEM
  ibrav = 0, nat = 4, ntyp = 4
/
ATOMIC_SPECIES
Sc 44.96 Sc.upf
Au 196.97 Au.upf
Ga 69.72 Ga.upf
Th 232.04 Th.upf
CELL_PARAMETERS angstrom
5.081 0.000 0.000
2.541 4.400 0.000
2.541 1.467 4.149
ATOMIC_POSITIONS angstrom
Sc 0.000 0.000 0.000
Au 7.622 4.400 3.112
Ga 2.541 1.467 1.037
Th 5.081 2.934 2.074
! E_form	-50.8	kJ per mole of atoms
! M_tot	0.76	μB/cell



Record 7
! PBE ThScGa2Au2, optimized geometry; values from VASP
&SYSTEM
  ibrav = 0, nat = 6, ntyp = 4
/
ATOMIC_SPECIES
Th 232.04 Th.upf
Sc 44.96 Sc.upf
Ga 69.72 Ga.upf
Au 196.97 Au.upf
CELL_PARAMETERS angstrom
-4.343 0.695 0.877
1.299 -1.129 -4.142
-0.777 -6.923 1.644
ATOMIC_POSITIONS angstrom
Th 0.000 0.000 0.000
Sc -0.388 -3.462 0.822
Ga -2.676 -1.815 -0.344
Ga -1.145 -5.541 -1.277
Au -3.009 -4.787 0.361
Au -0.812 -2.569 -1.982
! E_form	-68.8	kJ per mole of atoms
! M_tot	0.00	μB/cell



Record 8
! PBE Th2ScGa3Au4, optimized geometry; values from VASP
&SYSTEM
  ibrav = 0, nat = 10, ntyp = 4
/
ATOMIC_SPECIES
Th 232.04 Th.upf
Sc 44.96 Sc.upf
Ga 69.72 Ga.upf
Au 196.97 Au.upf
CELL_PARAMETERS angstrom
4.361 0.000 0.000
0.000 4.361 0.000
0.000 0.000 11.295
ATOMIC_POSITIONS angstrom
Th 2.180 0.000 2.553
Th 0.000 2.180 8.742
Sc 2.180 2.180 5.647
Ga 0.000 0.000 5.647
Ga 2.180 0.000 9.799
Ga 0.000 2.180 1.496
Au 2.180 2.180 0.000
Au 0.000 0.000 0.000
Au 2.180 0.000 7.301
Au 0.000 2.180 3.994
! E_form	-59.1	kJ per mole of atoms
! M_tot	0.00	μB/cell



Record 9
! PBE YScGa2Au4, optimized geometry; values from VASP
&SYSTEM
  ibrav = 0, nat = 8, ntyp = 4
/
ATOMIC_SPECIES
Y 88.91 Y.upf
Sc 44.96 Sc.upf
Ga 69.72 Ga.upf
Au 196.97 Au.upf
CELL_PARAMETERS angstrom
-0.073 4.064 2.369
1.097 0.076 4.575
8.070 2.610 0.442
ATOMIC_POSITIONS angstrom
Y 0.000 0.000 0.000
Sc 4.547 3.375 3.693
Ga 6.811 5.061 5.542
Ga 2.283 1.689 1.844
Au 7.214 3.800 3.047
Au 4.028 4.619 6.216
Au 5.066 2.132 1.170
Au 1.879 2.951 4.340
! E_form	-60.9	kJ per mole of atoms
! M_tot	0.00	μB/cell



Record 10
! PBE Sc3Zn2Ga2Au4, optimized geometry; values from VASP
&SYSTEM
  ibrav = 0, nat = 11, ntyp = 4
/
ATOMIC_SPECIES
Sc 44.96 Sc.upf
Zn 65.41 Zn.upf
Ga 69.72 Ga.upf
Au 196.97 Au.upf
CELL_PARAMETERS angstrom
-2.258 -2.295 3.057
3.079 -2.029 -2.473
8.651 2.790 8.485
ATOMIC_POSITIONS angstrom
Sc 6.338 2.044 6.217
Sc 0.000 0.000 0.000
Sc 2.312 0.746 2.268
Zn 3.215 -1.015 4.837
Zn 6.257 -0.519 4.232
Ga 6.996 0.204 8.546
Ga 2.475 -1.739 0.523
Au 0.567 -1.869 2.240
Au 8.905 0.335 6.829
Au 5.030 -0.430 6.617
Au 4.442 -1.104 2.452
! E_form	-55.5	kJ per mole of atoms
! M_tot	0.00	μB/cell



Record 11
! PBE Sc2ZnGaAu4, optimized geometry; values from VASP
&SYSTEM
  ibrav = 0, nat = 8, ntyp = 4
/
ATOMIC_SPECIES
Sc 44.96 Sc.upf
Zn 65.41 Zn.upf
Ga 69.72 Ga.upf
Au 196.97 Au.upf
CELL_PARAMETERS angstrom
4.677 0.000 0.000
2.339 4.051 0.000
2.339 1.350 7.614
ATOMIC_POSITIONS angstrom
Sc 7.016 4.051 5.722
Sc 2.339 1.350 1.892
Zn 4.677 2.701 3.807
Ga 0.000 0.000 0.000
Au 4.677 2.701 6.627
Au 7.016 4.051 2.883
Au 2.339 1.350 4.731
Au 4.677 2.701 0.987
! E_form	-59.3	kJ per mole of atoms
! M_tot	0.00	μB/cell



Record 12
! PBE ScZn2GaAu2, optimized geometry; values from VASP
&SYSTEM
  ibrav = 0, nat = 6, ntyp = 4
/
ATOMIC_SPECIES
Sc 44.96 Sc.upf
Zn 65.41 Zn.upf
Ga 69.72 Ga.upf
Au 196.97 Au.upf
CELL_PARAMETERS angstrom
-3.748 -0.158 -2.627
-0.292 -0.965 4.467
-1.033 5.582 1.138
ATOMIC_POSITIONS angstrom
Sc -0.516 2.791 0.569
Zn -2.228 3.543 2.967
Zn -2.845 0.917 0.012
Ga 0.000 0.000 0.000
Au -1.711 0.749 2.397
Au -3.361 3.711 0.582
! E_form	-39.9	kJ per mole of atoms
! M_tot	0.00	μB/cell



Which formula does entry 11 have?
Sc2ZnGaAu4



Which of these has the highest E_form?
ScZn2GaAu2



The highest E_form belongs to which entry?
ScZn2GaAu2



Which formula does entry 6 have?
ThScGaAu